No. 1
Here is a relaxed structure of TbScPdAu from the Alexandria database. Energies are from GGA-PBE.

Structure (POSCAR):
```
TbScPdAu
1.0
-2.430 -0.972 2.494
3.247 0.321 3.289
-0.020 5.458 -0.512
Tb Sc Pd Au
1 1 1 1
Cartesian
-0.475 3.234 3.417 Tb
-0.339 1.364 0.202 Sc
0.191 0.551 3.021 Pd
-1.029 4.142 0.612 Au
```

## Properties
Its density of states at the Fermi level is 2.06 states/eV/f.u. The calculation puts the calculated density at 9.72 g cm⁻³. Its total magnetization is 0.000 μB/atom. The symmetry is No. 38. The energy above the most stable polymorph in this dataset comes out at 0 meV per atom. The total energy is -5.6976 eV per atom. As for the formation energy from the elements: -0.840 eV per atom.



No. 2
Here is a relaxed structure of TlSi2Ag from the Alexandria database. Energies are from GGA-PBE.

Structure (POSCAR):
```
TlSi2Ag
1.0
4.020 0.000 0.000
0.000 4.020 0.000
0.000 0.000 4.990
Ag Si Tl
1 2 1
Cartesian
0.000 2.010 2.495 Ag
0.000 0.000 0.000 Si
2.010 2.010 0.000 Si
2.010 0.000 2.495 Tl
```

## Properties
Its density of states at the Fermi level is 2.36 states/eV/f.u. The calculation puts the calculated density at 7.59 g cm⁻³. Its total magnetization is 0.000 μB/atom. The symmetry is No. 123. The energy above the most stable polymorph in this dataset comes out at 310 meV per atom. The calculation puts the formation energy without anion corrections at 574 meV per atom. The total energy is -3.4417 eV per atom.



No. 3
Here is a relaxed structure of Sr3Hg4Sb2 from the Alexandria database. Energies are from GGA-PBE.

Structure (POSCAR):
```
Sr3Hg4Sb2
1.0
4.705 0.000 0.000
-2.352 6.184 -1.907
0.000 -0.552 9.833
Sr Hg Sb
3 4 2
Cartesian
2.352 1.843 5.574 Sr
0.000 0.000 0.000 Sr
0.000 3.788 2.352 Sr
2.352 3.343 -0.108 Hg
0.000 2.289 8.034 Hg
2.352 5.796 4.496 Hg
0.000 -0.165 3.430 Hg
2.352 1.296 2.198 Sb
0.000 4.336 5.728 Sb
```

## Properties
Its density of states at the Fermi level is 2.83 states/eV/f.u. The calculation puts the calculated density at 7.73 g cm⁻³. Its total magnetization is 0.000 μB/atom. The symmetry is No. 12. The calculation puts the formation energy without anion corrections at -643 meV per atom. The total energy is -2.2534 eV per atom.



No. 4
Here is a relaxed structure of Rb2HfPtSe from the Alexandria database. Energies are from GGA-PBE.

Structure (POSCAR):
```
Rb2HfPtSe
1.0
6.942 0.000 0.000
0.000 4.795 0.000
0.000 0.000 6.942
Se Hf Rb Pt
1 1 2 1
Cartesian
3.471 2.398 3.471 Se
0.000 0.000 0.000 Hf
0.000 0.000 3.471 Rb
3.471 0.000 0.000 Rb
0.000 2.398 0.000 Pt
```

## Properties
Its density of states at the Fermi level is 8.01 states/eV/f.u. The calculation puts the calculated density at 4.48 g cm⁻³. Its total magnetization is 0.000 μB/atom. The symmetry is No. 123. The calculation puts the formation energy without anion corrections at 590 meV per atom. The total energy is -3.6930 eV per atom.



No. 5
Here is a relaxed structure of Ba2SrTi from the Alexandria database. Energies are from GGA-PBE.

Structure (POSCAR):
```
Ba2SrTi
1.0
9.964 0.000 0.000
0.000 9.964 0.000
4.982 4.982 3.713
Sr Ba Ti
2 4 2
Cartesian
0.000 0.000 0.000 Sr
9.964 4.982 1.857 Sr
7.104 2.491 0.928 Ba
2.860 7.473 0.928 Ba
7.473 7.842 2.785 Ba
12.455 12.086 2.785 Ba
4.982 4.982 0.000 Ti
4.982 9.964 1.857 Ti
```

## Properties
Its density of states at the Fermi level is 6.03 states/eV/f.u. The calculation puts the calculated density at 3.69 g cm⁻³. Its total magnetization is 0.537 μB/atom. The symmetry is No. 122. The energy above the most stable polymorph in this dataset comes out at 124 meV per atom. The total energy is -2.6397 eV per atom. As for the formation energy from the elements: 0.716 eV per atom.



No. 6
Here is a relaxed structure of LiGdYHo from the Alexandria database. Energies are from GGA-PBE.

Structure (POSCAR):
```
LiGdYHo
1.0
-0.139 0.616 -5.451
4.619 -0.441 -2.930
0.770 -4.338 -3.272
Y Gd Ho Li
1 1 1 1
Cartesian
2.625 -2.081 -5.826 Y
3.938 -3.122 -8.740 Gd
0.000 0.000 0.000 Ho
1.313 -1.041 -2.913 Li
```

## Properties
Its density of states at the Fermi level is 4.38 states/eV/f.u. The calculation puts the calculated density at 5.94 g cm⁻³. Its total magnetization is 1.801 μB/atom. The symmetry is No. 216. The total energy is -6.5672 eV per atom. As for the formation energy from the elements: 0.192 eV per atom.



> Which of these has the highest calculated density?

TbScPdAu